Material: In12Hg16Pb
Method: DFT, PBE
State: relaxed

Structure (CIF):
```
data_In12Hg16Pb
_cell_length_a 10.0308
_cell_length_b 10.0308
_cell_length_c 8.4740
_cell_angle_alpha 103.16
_cell_angle_beta 103.16
_cell_angle_gamma 99.94
_space_group_name_H-M_alt 'P 1'
_space_group_IT_number 1
_space_group_name_Hall 'P 1'
loop_
_atom_site_label
_atom_site_type_symbol
_atom_site_fract_x
_atom_site_fract_y
_atom_site_fract_z
In1 In 0.0000 0.0000 0.0000
In2 In 0.0022 0.2264 0.4520
In3 In 0.0756 0.5553 0.3666
In4 In 0.2264 0.0022 0.4520
In5 In 0.3025 0.5128 0.1281
In6 In 0.3310 0.6967 0.7265
In7 In 0.5128 0.3025 0.1281
In8 In 0.5553 0.0756 0.3666
In9 In 0.6572 0.8607 0.8150
In10 In 0.6967 0.3310 0.7265
In11 In 0.7213 0.7213 0.4464
In12 In 0.8607 0.6572 0.8150
Hg1 Hg 0.0579 0.8244 0.6370
Hg2 Hg 0.0880 0.4893 0.7683
Hg3 Hg 0.1283 0.7451 0.1238
Hg4 Hg 0.2435 0.2435 0.2854
Hg5 Hg 0.3265 0.9588 0.0103
Hg6 Hg 0.4236 0.7936 0.4357
Hg7 Hg 0.4298 0.4298 0.8076
Hg8 Hg 0.4893 0.0880 0.7683
Hg9 Hg 0.4921 0.4921 0.4954
Hg10 Hg 0.5429 0.7574 0.0968
Hg11 Hg 0.7451 0.1283 0.1238
Hg12 Hg 0.7574 0.5429 0.0968
Hg13 Hg 0.7936 0.4236 0.4357
Hg14 Hg 0.8244 0.0579 0.6370
Hg15 Hg 0.8886 0.8886 0.2673
Hg16 Hg 0.9588 0.3265 0.0103
Pb1 Pb 0.1791 0.1791 0.8121
```

## Properties
The value obtained for the formation enthalpy at 0 K is 0.0221 eV per atom. The electronic total energy comes out at -1.405 eV/atom. The calculation puts the total magnetization at 0.00 μB per atom.

Material: Pm2LuTi
Method: DFT, PBE
State: relaxed

Structure (CIF):
```
data_Pm2LuTi
_cell_length_a 3.6488
_cell_length_b 3.6488
_cell_length_c 8.6105
_cell_angle_alpha 90.00
_cell_angle_beta 90.00
_cell_angle_gamma 90.00
_space_group_name_H-M_alt 'P 1'
_space_group_IT_number 1
_space_group_name_Hall 'P 1'
loop_
_atom_site_label
_atom_site_type_symbol
_atom_site_fract_x
_atom_site_fract_y
_atom_site_fract_z
Pm1 Pm 0.0000 0.0000 0.2198
Pm2 Pm 0.0000 0.0000 0.7802
Lu1 Lu 0.5000 0.5000 0.5000
Ti1 Ti 0.5000 0.5000 0.0000
```

## Properties
The value obtained for the formation enthalpy at 0 K is 0.2022 eV per atom. The electronic total energy comes out at -5.277 eV/atom. The calculation puts the total magnetization at 0.30 μB per atom.

Material: Th2H2Se3
Method: DFT, PBE
State: relaxed

Structure (CIF):
```
data_Th2H2Se3
_cell_length_a 8.9966
_cell_length_b 8.9966
_cell_length_c 8.9966
_cell_angle_alpha 154.15
_cell_angle_beta 153.28
_cell_angle_gamma 37.52
_space_group_name_H-M_alt 'P 1'
_space_group_IT_number 1
_space_group_name_Hall 'P 1'
loop_
_atom_site_label
_atom_site_type_symbol
_atom_site_fract_x
_atom_site_fract_y
_atom_site_fract_z
Th1 Th 0.1281 0.1281 0.0000
Th2 Th 0.8719 0.8719 0.0000
H1 H 0.0760 0.5760 0.5000
H2 H 0.9240 0.4240 0.5000
Se1 Se 0.3110 0.3110 0.0000
Se2 Se 0.5000 0.0000 0.5000
Se3 Se 0.6889 0.6889 0.0000
```

## Properties
The electronic total energy comes out at -5.872 eV/atom. The calculation puts the total magnetization at 0.00 μB per atom.

Material: LiCaH3
Method: DFT, PBE
State: relaxed

Structure (CIF):
```
data_LiCaH3
_cell_length_a 5.0967
_cell_length_b 5.0967
_cell_length_c 5.0967
_cell_angle_alpha 61.19
_cell_angle_beta 61.19
_cell_angle_gamma 61.19
_space_group_name_H-M_alt 'P 1'
_space_group_IT_number 1
_space_group_name_Hall 'P 1'
loop_
_atom_site_label
_atom_site_type_symbol
_atom_site_fract_x
_atom_site_fract_y
_atom_site_fract_z
Li1 Li 0.0000 0.0000 0.0000
Li2 Li 0.5000 0.5000 0.5000
Ca1 Ca 0.2500 0.2500 0.2500
Ca2 Ca 0.7500 0.7500 0.7500
H1 H 0.1976 0.7500 0.3024
H2 H 0.2500 0.6976 0.8024
H3 H 0.3024 0.1976 0.7500
H4 H 0.6976 0.8024 0.2500
H5 H 0.7500 0.3024 0.1976
H6 H 0.8024 0.2500 0.6976
```

## Properties
The electronic total energy comes out at -3.292 eV/atom. The calculation puts the total magnetization at 0.00 μB per atom.

- Look up the electronic total energy of the first one.
  -1.405 eV/atom

What did the first record say?
Material: In12Hg16Pb
Method: DFT, PBE
State: relaxed

Structure (CIF):
```
data_In12Hg16Pb
_cell_length_a 10.0308
_cell_length_b 10.0308
_cell_length_c 8.4740
_cell_angle_alpha 103.16
_cell_angle_beta 103.16
_cell_angle_gamma 99.94
_space_group_name_H-M_alt 'P 1'
_space_group_IT_number 1
_space_group_name_Hall 'P 1'
loop_
_atom_site_label
_atom_site_type_symbol
_atom_site_fract_x
_atom_site_fract_y
_atom_site_fract_z
In1 In 0.0000 0.0000 0.0000
In2 In 0.0022 0.2264 0.4520
In3 In 0.0756 0.5553 0.3666
In4 In 0.2264 0.0022 0.4520
In5 In 0.3025 0.5128 0.1281
In6 In 0.3310 0.6967 0.7265
In7 In 0.5128 0.3025 0.1281
In8 In 0.5553 0.0756 0.3666
In9 In 0.6572 0.8607 0.8150
In10 In 0.6967 0.3310 0.7265
In11 In 0.7213 0.7213 0.4464
In12 In 0.8607 0.6572 0.8150
Hg1 Hg 0.0579 0.8244 0.6370
Hg2 Hg 0.0880 0.4893 0.7683
Hg3 Hg 0.1283 0.7451 0.1238
Hg4 Hg 0.2435 0.2435 0.2854
Hg5 Hg 0.3265 0.9588 0.0103
Hg6 Hg 0.4236 0.7936 0.4357
Hg7 Hg 0.4298 0.4298 0.8076
Hg8 Hg 0.4893 0.0880 0.7683
Hg9 Hg 0.4921 0.4921 0.4954
Hg10 Hg 0.5429 0.7574 0.0968
Hg11 Hg 0.7451 0.1283 0.1238
Hg12 Hg 0.7574 0.5429 0.0968
Hg13 Hg 0.7936 0.4236 0.4357
Hg14 Hg 0.8244 0.0579 0.6370
Hg15 Hg 0.8886 0.8886 0.2673
Hg16 Hg 0.9588 0.3265 0.0103
Pb1 Pb 0.1791 0.1791 0.8121
```

## Properties
The value obtained for the formation enthalpy at 0 K is 0.0221 eV per atom. The electronic total energy comes out at -1.405 eV/atom. The calculation puts the total magnetization at 0.00 μB per atom.

- Which of these has the highest total magnetization?
  Pm2LuTi